[1]
Density functional theory data (GGA-PBE) for a geometry-optimized Li3RhF7 structure.

## Properties
Fermi-level density of states   9.79 states/eV per cell
Formation energy from raw total energies   -2287 meV per atom

Cell and atoms, written as extended XYZ:
```
11
Lattice="4.8125 0.0921 1.7734 -1.0168 4.7048 1.7734 -0.7213 -0.9115 5.4872" Properties=species:S:1:pos:R:3 pbc="T T T"
Li -0.1342 2.5148 4.4838
Li 2.4783 0.4475 4.4838
Li 1.8932 2.3925 2.4504
Rh -0.5390 -0.6811 5.3512
F 3.6705 0.9038 5.9878
F 1.5774 1.9935 4.1775
F 0.0358 3.7800 5.9878
F 0.4470 0.5649 6.4521
F -0.2284 3.4472 2.7307
F 2.3372 2.9536 7.6363
F 3.4074 0.5702 2.7307
```

[2]
Density functional theory data (GGA-PBE) for a geometry-optimized CrIr4Rh2 structure.

## Properties
Fermi-level density of states   12.19 states/eV per cell
Polymorph energy (0 for the lowest one)   0.194 eV/atom
E_form   0.33 eV/atom

Cell and atoms, written as extended XYZ:
```
14
Lattice="3.6833 0.0000 0.0000 -1.8417 8.1155 0.0000 0.0000 0.0000 7.9110" Properties=species:S:1:pos:R:3 pbc="T T T"
Ir 1.8417 0.0000 3.9555
Ir 0.0000 1.9124 7.6756
Ir 0.0000 0.2367 1.9778
Ir 0.0000 1.9124 4.1909
Ir 1.8417 0.0000 0.0000
Ir 1.8417 7.8787 5.9333
Ir 1.8417 6.2031 0.2354
Ir 1.8417 6.2031 3.7201
Rh 1.8417 3.7151 4.7203
Rh 0.0000 4.4004 3.1907
Rh 1.8417 3.7151 7.1462
Rh 0.0000 4.4004 0.7648
Cr 0.0000 6.6397 1.9778
Cr 1.8417 1.4758 5.9333
```

[3]
Density functional theory data (GGA-PBE) for a geometry-optimized MgCd2Co structure.

## Properties
Fermi-level density of states   4.03 states/eV per cell
E_form   0.16 eV/atom

Cell and atoms, written as extended XYZ:
```
4
Lattice="-2.2662 -1.5028 -1.8884 2.3280 -1.6060 -1.5157 1.8656 -6.6337 3.0403" Properties=species:S:1:pos:R:3 pbc="T T T"
Co -0.0847 -2.8113 -0.5631
Cd 2.3140 -1.7641 -1.3732
Cd 2.1108 -3.9618 0.6197
Mg 2.0121 -6.9312 0.1992
```

[4]
Density functional theory data (GGA-PBE) for a geometry-optimized ThNi6Sn structure.

## Properties
Fermi-level density of states   4.75 states/eV per cell
E_form   -0.24 eV/atom

Cell and atoms, written as extended XYZ:
```
8
Lattice="4.3799 0.0000 0.0000 0.0000 5.4608 -0.1754 0.0000 -2.5751 4.8188" Properties=species:S:1:pos:R:3 pbc="T T T"
Sn 2.1900 0.7714 2.7390
Ni 2.1900 4.6521 0.3272
Ni 0.0000 0.8287 4.3922
Ni 0.0000 -0.6856 1.9557
Ni 2.1900 2.2061 0.4077
Ni 0.0000 2.1748 1.8668
Ni 2.1900 3.4969 2.4847
Th 0.0000 -1.9037 4.4016
```

E_tot: -4.668; -8.206; -2.477; -6.006 (eV per atom)